First-principles (PBE with a Hubbard U) data for Ni2SnAsO6 after structural relaxation, as listed in Alexandria via LeMat-Bulk.

a = 4.7678 Å, b = 5.3437 Å, c = 5.3437 Å
α = 90.00°, β = 90.00°, γ = 90.00°
Fractional positions:
Ni1 0.9269 0.5000 0.0000
Ni2 0.9269 0.0000 0.5000
Sn1 0.5711 0.5000 0.5000
As1 0.6093 0.0000 0.0000
O1 0.7476 0.2380 0.2380
O2 0.7476 0.2380 0.7620
O3 0.1671 0.5000 0.5000
O4 0.2553 0.0000 0.0000
O5 0.7476 0.7620 0.7620
O6 0.7476 0.7620 0.2380

Output
Energy: -5.176 eV per atom
SG: P4mm (99)
Size of the total moment: 3.7 μB per cell
Fermi-level density of states: 0.261 states/eV/atom